No. 1
Computed, not measured: Np2InPd2 after structural relaxation at the PBE level of DFT.

```
data_Np2InPd2
_chemical_formula_sum 'Np4 In2 Pd4'
_symmetry_space_group_name_H-M 'P 4/m b m'
_symmetry_Int_Tables_number 127
_symmetry_space_group_name_Hall '-P 4 2ab'
_cell_length_a 7.650
_cell_length_b 7.650
_cell_length_c 3.823
_cell_angle_alpha 90.00
_cell_angle_beta 90.00
_cell_angle_gamma 90.00
loop_
_atom_site_label
_atom_site_type_symbol
_atom_site_fract_x
_atom_site_fract_y
_atom_site_fract_z
Np1 Np 0.171 0.329 0.000
In1 In 0.000 0.000 0.500
Pd1 Pd 0.132 0.632 0.500
```

Formation energy ... -0.16 eV/atom

=====

No. 2
Computed, not measured: SmHoNpO6 after structural relaxation at the PBE level of DFT.

```
data_SmHoNpO6
_chemical_formula_sum 'Sm2 Ho2 Np2 O12'
_symmetry_space_group_name_H-M 'P -3 1 c'
_symmetry_Int_Tables_number 163
_symmetry_space_group_name_Hall '-P 3 2c'
_cell_length_a 5.7509
_cell_length_b 5.7509
_cell_length_c 9.6378
_cell_angle_alpha 90.00
_cell_angle_beta 90.00
_cell_angle_gamma 120.00
loop_
_atom_site_label
_atom_site_type_symbol
_atom_site_fract_x
_atom_site_fract_y
_atom_site_fract_z
Sm1 Sm 0.0000 0.0000 0.0000
Ho1 Ho 0.3333 0.6667 0.2500
Np1 Np 0.3333 0.6667 0.7500
O1 O 0.0240 0.3613 0.6359
```

Formation energy (no corrections) ... -3202 meV per atom

=====

No. 3
Computed, not measured: ZrTlCl2 after structural relaxation at the PBE level of DFT.

```
data_ZrTlCl2
_chemical_formula_sum 'Zr3 Tl3 Cl6'
_symmetry_space_group_name_H-M 'R 3 m'
_symmetry_Int_Tables_number 160
_symmetry_space_group_name_Hall 'R 3 -2"'
_cell_length_a 3.4747
_cell_length_b 3.4747
_cell_length_c 28.4146
_cell_angle_alpha 90.00
_cell_angle_beta 90.00
_cell_angle_gamma 120.00
loop_
_atom_site_label
_atom_site_type_symbol
_atom_site_fract_x
_atom_site_fract_y
_atom_site_fract_z
Zr1 Zr 0.0000 0.0000 0.0000
Tl1 Tl 0.0000 0.0000 0.7520
Cl1 Cl 0.0000 0.0000 0.2734
Cl2 Cl 0.0000 0.0000 0.4880
```

Formation energy (no corrections) ... -763 meV per atom

=====

No. 4
Computed, not measured: LiSiAs2 after structural relaxation at the PBE level of DFT.

```
data_LiSiAs2
_chemical_formula_sum 'Li3 Si3 As6'
_symmetry_space_group_name_H-M 'R -3 m'
_symmetry_Int_Tables_number 166
_symmetry_space_group_name_Hall '-R 3 2"'
_cell_length_a 2.9620
_cell_length_b 2.9620
_cell_length_c 26.9092
_cell_angle_alpha 90.00
_cell_angle_beta 90.00
_cell_angle_gamma 120.00
loop_
_atom_site_label
_atom_site_type_symbol
_atom_site_fract_x
_atom_site_fract_y
_atom_site_fract_z
Li1 Li 0.0000 0.0000 0.0000
Si1 Si 0.0000 0.0000 0.5000
As1 As 0.0000 0.0000 0.2538
```

Formation energy (no corrections) ... 188 meV per atom

=====

No. 5
Computed, not measured: TiGeS2Cl after structural relaxation at the PBE level of DFT.

```
data_TiGeS2Cl
_chemical_formula_sum 'Ti1 Ge1 S2 Cl1'
_symmetry_space_group_name_H-M 'P 4/m m m'
_symmetry_Int_Tables_number 123
_symmetry_space_group_name_Hall '-P 4 2'
_cell_length_a 4.758
_cell_length_b 4.758
_cell_length_c 4.735
_cell_angle_alpha 90.00
_cell_angle_beta 90.00
_cell_angle_gamma 90.00
loop_
_atom_site_label
_atom_site_type_symbol
_atom_site_fract_x
_atom_site_fract_y
_atom_site_fract_z
Ti1 Ti 0.000 0.000 0.000
Ge1 Ge 0.500 0.500 0.500
S1 S 0.000 0.500 0.500
Cl1 Cl 0.500 0.500 0.000
```

Formation energy (no corrections) ... 210 meV per atom

=====

No. 6
Computed, not measured: La3Nd2Rh2 after structural relaxation at the PBE level of DFT.

```
data_La3Nd2Rh2
_chemical_formula_sum 'La6 Nd4 Rh4'
_symmetry_space_group_name_H-M 'C 1 2/m 1'
_symmetry_Int_Tables_number 12
_cell_length_a 12.601
_cell_length_b 3.965
_cell_length_c 9.259
_cell_angle_alpha 90.00
_cell_angle_beta 115.58
_cell_angle_gamma 90.00
loop_
_symmetry_equiv_pos_as_xyz
'x,y,z'
'-x,-y,-z'
'-x,y,-z'
'x,-y,z'
'x+1/2,y+1/2,z'
'-x+1/2,-y+1/2,-z'
'-x+1/2,y+1/2,-z'
'x+1/2,-y+1/2,z'
loop_
_atom_site_label
_atom_site_type_symbol
_atom_site_fract_x
_atom_site_fract_y
_atom_site_fract_z
La1 La 0.000 0.000 0.000
La2 La 0.114 0.000 0.427
Nd1 Nd 0.173 0.500 0.814
Rh1 Rh 0.177 0.500 0.248
```

Formation energy ... -0.47 eV/atom

=====

No. 7
Computed, not measured: H2SeI after structural relaxation at the PBE level of DFT.

```
data_H2SeI
_chemical_formula_sum 'H8 Se4 I4'
_symmetry_space_group_name_H-M 'F m -3 m'
_symmetry_Int_Tables_number 225
_symmetry_space_group_name_Hall '-F 4 2 3'
_cell_length_a 6.079
_cell_length_b 6.079
_cell_length_c 6.079
_cell_angle_alpha 90.00
_cell_angle_beta 90.00
_cell_angle_gamma 90.00
loop_
_atom_site_label
_atom_site_type_symbol
_atom_site_fract_x
_atom_site_fract_y
_atom_site_fract_z
H1 H 0.250 0.250 0.250
Se1 Se 0.000 0.000 0.000
I1 I 0.000 0.000 0.500
```

Uncorrected energy ... -1.763 eV per atom

=====

No. 8
Computed, not measured: TcPdBr after structural relaxation at the PBE level of DFT.

```
data_TcPdBr
_chemical_formula_sum 'Tc1 Pd1 Br1'
_symmetry_space_group_name_H-M 'P 1 m 1'
_symmetry_Int_Tables_number 6
_cell_length_a 3.034
_cell_length_b 2.942
_cell_length_c 6.312
_cell_angle_alpha 90.00
_cell_angle_beta 95.39
_cell_angle_gamma 90.00
loop_
_symmetry_equiv_pos_as_xyz
'x,y,z'
'x,-y,z'
loop_
_atom_site_label
_atom_site_type_symbol
_atom_site_fract_x
_atom_site_fract_y
_atom_site_fract_z
Tc1 Tc 0.000 0.000 0.000
Pd1 Pd 0.440 0.500 0.733
Br1 Br 0.557 0.000 0.316
```

Formation energy (no corrections) ... 456 meV per atom

=====

No. 9
Computed, not measured: RbSi4O7 after structural relaxation at the PBE level of DFT.

```
data_RbSi4O7
_chemical_formula_sum 'Rb2 Si8 O14'
_symmetry_space_group_name_H-M 'P m n 21'
_symmetry_Int_Tables_number 31
_cell_length_a 13.925
_cell_length_b 5.576
_cell_length_c 5.062
_cell_angle_alpha 90.00
_cell_angle_beta 90.00
_cell_angle_gamma 90.00
loop_
_symmetry_equiv_pos_as_xyz
'x,y,z'
'-x+1/2,-y,z+1/2'
'-x,y,z'
'x+1/2,-y,z+1/2'
loop_
_atom_site_label
_atom_site_type_symbol
_atom_site_fract_x
_atom_site_fract_y
_atom_site_fract_z
Rb1 Rb 0.000 0.001 0.000
Si1 Si 0.092 0.459 0.477
Si2 Si 0.245 0.832 0.260
O1 O 0.000 0.578 0.659
O2 O 0.145 0.706 0.352
O3 O 0.168 0.356 0.711
O4 O 0.219 0.981 0.989
```

Formation energy (no corrections) ... -2336 meV per atom

=====

No. 10
Computed, not measured: Pu2NpAs2N2 after structural relaxation at the PBE level of DFT.

```
data_Pu2NpAs2N2
_chemical_formula_sum 'Pu4 Np2 As4 N4'
_symmetry_space_group_name_H-M 'C 1 2/m 1'
_symmetry_Int_Tables_number 12
_cell_length_a 11.769
_cell_length_b 3.864
_cell_length_c 6.899
_cell_angle_alpha 90.00
_cell_angle_beta 121.06
_cell_angle_gamma 90.00
loop_
_symmetry_equiv_pos_as_xyz
'x,y,z'
'-x,-y,-z'
'-x,y,-z'
'x,-y,z'
'x+1/2,y+1/2,z'
'-x+1/2,-y+1/2,-z'
'-x+1/2,y+1/2,-z'
'x+1/2,-y+1/2,z'
loop_
_atom_site_label
_atom_site_type_symbol
_atom_site_fract_x
_atom_site_fract_y
_atom_site_fract_z
Pu1 Pu 0.189 0.000 0.238
Np1 Np 0.000 0.000 0.500
As1 As 0.065 0.500 0.842
N1 N 0.193 0.000 0.583
```

Formation energy (no corrections) ... -1071 meV per atom

=====

No. 11
Computed, not measured: LuMgPd2 after structural relaxation at the PBE level of DFT.

```
data_LuMgPd2
_chemical_formula_sum 'Lu1 Mg1 Pd2'
_symmetry_space_group_name_H-M 'P 4/m m m'
_symmetry_Int_Tables_number 123
_symmetry_space_group_name_Hall '-P 4 2'
_cell_length_a 3.333
_cell_length_b 3.333
_cell_length_c 6.575
_cell_angle_alpha 90.00
_cell_angle_beta 90.00
_cell_angle_gamma 90.00
loop_
_atom_site_label
_atom_site_type_symbol
_atom_site_fract_x
_atom_site_fract_y
_atom_site_fract_z
Lu1 Lu 0.000 0.000 0.000
Mg1 Mg 0.000 0.000 0.500
Pd1 Pd 0.500 0.500 0.263
```

Formation energy ... -0.86 eV/atom

=====

No. 12
Computed, not measured: In3Sn2Pb4 after structural relaxation at the PBE level of DFT.

```
data_In3Sn2Pb4
_chemical_formula_sum 'In3 Sn2 Pb4'
_symmetry_space_group_name_H-M 'P 3 m 1'
_symmetry_Int_Tables_number 156
_cell_length_a 3.4048
_cell_length_b 3.4048
_cell_length_c 26.5590
_cell_angle_alpha 90.00
_cell_angle_beta 90.00
_cell_angle_gamma 120.00
loop_
_symmetry_equiv_pos_as_xyz
'x,y,z'
'-y,x-y,z'
'-x+y,-x,z'
'-y,-x,z'
'-x+y,y,z'
'x,x-y,z'
loop_
_atom_site_label
_atom_site_type_symbol
_atom_site_fract_x
_atom_site_fract_y
_atom_site_fract_z
In1 In 0.0000 0.0000 0.0000
In2 In 0.0000 0.0000 0.3372
In3 In 0.6667 0.3333 0.6728
Sn1 Sn 0.6667 0.3333 0.1045
Sn2 Sn 0.6667 0.3333 0.8927
Pb1 Pb 0.0000 0.0000 0.5618
Pb2 Pb 0.0000 0.0000 0.7855
Pb3 Pb 0.6667 0.3333 0.2251
Pb4 Pb 0.6667 0.3333 0.4494
```

Formation energy ... 0.04 eV/atom

=====

No. 13
Computed, not measured: GaBiTe after structural relaxation at the PBE level of DFT.

```
data_GaBiTe
_chemical_formula_sum 'Ga1 Bi1 Te1'
_symmetry_space_group_name_H-M 'P 3 m 1'
_symmetry_Int_Tables_number 156
_cell_length_a 4.1692
_cell_length_b 4.1692
_cell_length_c 5.6880
_cell_angle_alpha 90.00
_cell_angle_beta 90.00
_cell_angle_gamma 120.00
loop_
_symmetry_equiv_pos_as_xyz
'x,y,z'
'-y,x-y,z'
'-x+y,-x,z'
'-y,-x,z'
'-x+y,y,z'
'x,x-y,z'
loop_
_atom_site_label
_atom_site_type_symbol
_atom_site_fract_x
_atom_site_fract_y
_atom_site_fract_z
Ga1 Ga 0.0000 0.0000 0.0000
Bi1 Bi 0.3333 0.6667 0.6762
Te1 Te 0.6667 0.3333 0.2880
```

Formation energy (no corrections) ... -12 meV per atom